{
  "formula": "Cr2GaO2",
  "functional": "GGA+U",
  "state": "relaxed",
  "lattice": [[7.109, 0.000, 0.000], [0.000, 7.109, 0.000], [0.000, 0.000, 2.938]],
  "species": ["Cr", "Cr", "Cr", "Cr", "Ga", "Ga", "O", "O", "O", "O"],
  "fractional_positions": [[0.149, 0.351, 0.000], [0.351, 0.851, 0.000], [0.649, 0.149, 0.000], [0.851, 0.649, 0.000], [0.000, 0.000, 0.000], [0.500, 0.500, 0.000], [0.216, 0.716, 0.500], [0.284, 0.216, 0.500], [0.716, 0.784, 0.500], [0.784, 0.284, 0.500]],
  "energy_ev_per_cell": -59.8,
  "dos_at_fermi_per_ev_atom": 0.161
}